Entry 1:
A relaxed structure of ReH32C12N2Cl6. Source: OQMD, functional PBE.

Lattice parameters (Å, degrees): 9.709 10.476 13.135 90.00 126.99 90.00
Last column: magnetic moment on the atom in μB.
Fractional positions:
N (0.822, 0.346, 0.228)  0.00
N (0.822, 0.154, 0.728)  0.00
N (0.178, 0.846, 0.272)  0.00
N (0.178, 0.654, 0.772)  0.00
H (0.361, 0.028, 0.473)  0.00
H (0.082, 0.052, 0.103)  0.00
H (0.695, 0.373, 0.311)  0.00
H (0.704, 0.606, 0.323)  0.00
H (0.942, 0.161, 0.639)  0.00
H (0.954, 0.011, 0.706)  0.00
H (0.061, 0.377, 0.407)  0.00
H (0.929, 0.668, 0.996)  0.00
H (0.122, 0.748, 0.049)  0.00
H (0.746, 0.267, 0.175)  0.00
H (0.695, 0.127, 0.811)  0.00
H (0.251, 0.511, 0.037)  0.00
H (0.918, 0.948, 0.897)  0.00
H (0.378, 0.870, 0.533)  0.00
H (0.204, 0.119, 0.259)  0.00
H (0.588, 0.435, 0.158)  0.00
H (0.954, 0.489, 0.206)  0.00
H (0.122, 0.752, 0.549)  0.00
H (0.129, 0.880, 0.641)  0.00
H (0.058, 0.661, 0.861)  0.00
H (0.071, 0.168, 0.504)  0.00
H (0.058, 0.839, 0.361)  0.00
H (0.412, 0.935, 0.342)  0.00
H (0.082, 0.448, 0.603)  0.00
H (0.622, 0.130, 0.467)  0.00
H (0.878, 0.248, 0.451)  0.00
H (0.588, 0.065, 0.658)  0.00
H (0.046, 0.989, 0.294)  0.00
H (0.061, 0.123, 0.907)  0.00
H (0.296, 0.106, 0.177)  0.00
H (0.871, 0.120, 0.359)  0.00
H (0.939, 0.877, 0.093)  0.00
H (0.305, 0.627, 0.689)  0.00
H (0.361, 0.472, 0.973)  0.00
H (0.944, 0.747, 0.180)  0.00
H (0.929, 0.832, 0.496)  0.00
H (0.254, 0.733, 0.825)  0.00
H (0.412, 0.565, 0.842)  0.00
H (0.251, 0.989, 0.537)  0.00
H (0.056, 0.253, 0.820)  0.00
H (0.046, 0.511, 0.794)  0.00
H (0.204, 0.381, 0.759)  0.00
H (0.871, 0.380, 0.859)  0.00
H (0.129, 0.620, 0.141)  0.00
H (0.622, 0.370, 0.967)  0.00
H (0.749, 0.011, 0.463)  0.00
H (0.639, 0.528, 0.027)  0.00
H (0.296, 0.394, 0.677)  0.00
H (0.704, 0.894, 0.823)  0.00
H (0.056, 0.247, 0.320)  0.00
H (0.305, 0.873, 0.189)  0.00
H (0.378, 0.630, 0.033)  0.00
H (0.942, 0.339, 0.139)  0.00
H (0.796, 0.619, 0.241)  0.00
H (0.639, 0.972, 0.527)  0.00
H (0.796, 0.881, 0.741)  0.00
H (0.878, 0.252, 0.951)  0.00
H (0.254, 0.767, 0.325)  0.00
H (0.918, 0.552, 0.397)  0.00
H (0.071, 0.332, 0.004)  0.00
H (0.939, 0.623, 0.593)  0.00
H (0.944, 0.753, 0.680)  0.00
H (0.749, 0.489, 0.963)  0.00
H (0.746, 0.233, 0.675)  0.00
C (0.286, 0.572, 0.750)  0.00
C (0.016, 0.706, 0.651)  0.00
C (0.133, 0.910, 0.351)  0.00
C (0.867, 0.090, 0.649)  0.00
C (0.133, 0.590, 0.851)  0.00
C (0.211, 0.058, 0.194)  0.00
C (0.789, 0.558, 0.306)  0.00
C (0.286, 0.928, 0.250)  0.00
C (0.291, 0.549, 0.981)  0.00
C (0.053, 0.798, 0.581)  0.00
C (0.709, 0.451, 0.019)  0.00
C (0.714, 0.072, 0.750)  0.00
C (0.016, 0.794, 0.151)  0.00
C (0.053, 0.702, 0.081)  0.00
C (0.867, 0.410, 0.149)  0.00
C (0.291, 0.951, 0.481)  0.00
C (0.709, 0.049, 0.519)  0.00
C (0.947, 0.202, 0.419)  0.00
C (0.984, 0.206, 0.849)  0.00
C (0.984, 0.294, 0.349)  0.00
C (0.211, 0.442, 0.694)  0.00
C (0.947, 0.298, 0.919)  0.00
C (0.789, 0.942, 0.806)  0.00
C (0.714, 0.428, 0.250)  0.00
Re (0.500, 0.000, 0.000)  2.32
Re (0.500, 0.500, 0.500)  2.32
Cl (0.647, 0.912, 0.207)  0.06
Cl (0.647, 0.588, 0.707)  0.06
Cl (0.444, 0.189, 0.069)  0.05
Cl (0.762, 0.093, 0.058)  0.04
Cl (0.353, 0.088, 0.793)  0.06
Cl (0.353, 0.412, 0.293)  0.06
Cl (0.238, 0.907, 0.942)  0.04
Cl (0.762, 0.407, 0.558)  0.04
Cl (0.556, 0.811, 0.931)  0.05
Cl (0.556, 0.689, 0.431)  0.05
Cl (0.238, 0.593, 0.442)  0.04
Cl (0.444, 0.311, 0.569)  0.05

Output
As for the symmetry: No. 14. For the total moment, the calculation gives 6.00 Bohr magnetons per cell.

Entry 2:
A relaxed structure of ZnH16C6S2N4Cl2. Source: OQMD, functional PBE.

Lattice parameters (Å, degrees): 7.788 7.788 12.271 103.12 103.12 69.61
Fractional positions:
H (0.103, 0.662, 0.295)
H (0.559, 0.656, 0.362)
H (0.211, 0.744, 0.531)
H (0.103, 0.461, 0.096)
H (0.539, 0.897, 0.404)
H (0.154, 0.378, 0.661)
H (0.399, 0.250, 0.491)
H (0.897, 0.539, 0.904)
H (0.622, 0.846, 0.839)
H (0.256, 0.789, 0.969)
H (0.601, 0.750, 0.509)
H (0.344, 0.441, 0.138)
H (0.378, 0.154, 0.161)
H (0.846, 0.622, 0.339)
H (0.678, 0.449, 0.626)
H (0.441, 0.344, 0.638)
H (0.789, 0.256, 0.469)
H (0.551, 0.322, 0.874)
H (0.338, 0.897, 0.205)
H (0.454, 0.138, 0.848)
H (0.250, 0.399, 0.991)
H (0.750, 0.601, 0.009)
H (0.449, 0.678, 0.126)
H (0.461, 0.103, 0.596)
H (0.897, 0.338, 0.705)
H (0.138, 0.454, 0.348)
H (0.662, 0.103, 0.795)
H (0.656, 0.559, 0.862)
H (0.862, 0.546, 0.652)
H (0.744, 0.211, 0.031)
H (0.546, 0.862, 0.152)
H (0.322, 0.551, 0.374)
C (0.243, 0.060, 0.008)
C (0.757, 0.940, 0.992)
C (0.585, 0.171, 0.866)
C (0.616, 0.756, 0.423)
C (0.060, 0.243, 0.508)
C (0.244, 0.384, 0.077)
C (0.415, 0.829, 0.134)
C (0.171, 0.585, 0.366)
C (0.756, 0.616, 0.923)
C (0.940, 0.757, 0.492)
C (0.829, 0.415, 0.634)
C (0.384, 0.244, 0.577)
N (0.810, 0.706, 0.413)
N (0.304, 0.885, 0.028)
N (0.885, 0.304, 0.528)
N (0.190, 0.294, 0.587)
N (0.294, 0.190, 0.087)
N (0.696, 0.115, 0.972)
N (0.115, 0.696, 0.472)
N (0.706, 0.810, 0.913)
S (0.121, 0.100, 0.384)
S (0.879, 0.900, 0.616)
S (0.900, 0.879, 0.116)
S (0.100, 0.121, 0.884)
Cl (0.198, 0.587, 0.822)
Cl (0.802, 0.413, 0.178)
Cl (0.413, 0.802, 0.678)
Cl (0.587, 0.198, 0.322)
Zn (0.149, 0.851, 0.750)
Zn (0.851, 0.149, 0.250)

Output
As for the symmetry: No. 15.

| no. | volume (Å³/atom) | VASP energy (eV per cell) |
| --- | --- | --- |
| 1 | 10.1 | -548.38 |
| 2 | 10.8 | -329.16 |